(1)
# KVIO2

A relaxed structure of KVIO2 (PBE with a Hubbard U, Alexandria).

```
KVIO2
1.0
4.1198 0.0000 0.0000
0.0000 4.1198 0.0000
0.0000 0.0000 5.7167
K V I O
1 1 1 2
direct
0.0000 0.0000 0.0000 K
0.5000 0.5000 0.5000 V
0.5000 0.5000 0.0000 I
0.0000 0.5000 0.5000 O
0.5000 0.0000 0.5000 O
```

## Properties
**Fermi-level density of states**: 2.18 states/eV/cell
**Uncorrected energy**: -4.966 eV per atom

***

(2)
# KVIO2

A relaxed structure of KVIO2 (PBE with a Hubbard U, Alexandria).

```
KVIO2
1.0
4.6726 0.0000 0.0000
0.0000 4.6726 0.0000
0.0000 0.0000 6.4711
K V I O
1 1 1 2
direct
0.0000 0.0000 0.0000 K
0.5000 0.5000 0.5000 V
0.0000 0.0000 0.5000 I
0.0000 0.5000 0.0000 O
0.5000 0.0000 0.0000 O
```

## Properties
**Fermi-level density of states**: 6.15 states/eV/cell
**Uncorrected energy**: -3.280 eV per atom

***

(3)
# KWI2O

A relaxed structure of KWI2O (PBE with a Hubbard U, Alexandria).

```
KWI2O
1.0
6.3365 0.0000 0.0000
0.0000 6.3365 0.0000
0.0000 0.0000 4.6095
K W I O
1 1 2 1
direct
0.0000 0.0000 0.0000 K
0.5000 0.5000 0.5000 W
0.0000 0.5000 0.0000 I
0.5000 0.0000 0.0000 I
0.0000 0.0000 0.5000 O
```

## Properties
**Fermi-level density of states**: 6.82 states/eV/cell
**Uncorrected energy**: -2.562 eV per atom

***

(4)
# KWI2O

A relaxed structure of KWI2O (PBE with a Hubbard U, Alexandria).

```
KWI2O
1.0
6.2442 0.0000 0.0000
0.0000 6.2442 0.0000
0.0000 0.0000 3.9472
K W I O
1 1 2 1
direct
0.0000 0.0000 0.0000 K
0.5000 0.5000 0.5000 W
0.0000 0.5000 0.5000 I
0.5000 0.0000 0.5000 I
0.5000 0.5000 0.0000 O
```

## Properties
**Fermi-level density of states**: 0.77 states/eV/cell
**Uncorrected energy**: -4.159 eV per atom

***

(5)
# KW2IO

A relaxed structure of KW2IO (PBE with a Hubbard U, Alexandria).

```
KW2IO
1.0
5.8411 0.0000 0.0000
0.0000 5.8411 0.0000
0.0000 0.0000 4.5278
K W I O
1 2 1 1
direct
0.0000 0.0000 0.0000 K
0.0000 0.5000 0.5000 W
0.5000 0.0000 0.5000 W
0.5000 0.5000 0.5000 I
0.5000 0.5000 0.0000 O
```

## Properties
**Fermi-level density of states**: 2.83 states/eV/cell
**Uncorrected energy**: -2.996 eV per atom